[1]
An optimized crystal structure of RePt3, computed with PBE-GGA.

Cell lengths 2.8180, 2.8180, 9.0257 Å; angles 90.00, 90.00, 120.00 degrees
With the nearest neighbours (Å) after each atom.
Atoms (fractional coordinates):
Re 0.0000 0.0000 0.0000  6 Pt 2.69, 6 Re 2.82
Pt 0.0000 0.0000 0.5000  12 Pt 2.82-2.87
Pt 0.6667 0.3333 0.2377  3 Re 2.69, 9 Pt 2.82-2.87
Pt 0.6667 0.3333 0.7623  3 Re 2.69, 9 Pt 2.82-2.87

Results
As for the raw total energy: -30.8 eV/cell. The value obtained for the density of states at the Fermi level is 5.93 states/eV/f.u.

***

[2]
An optimized crystal structure of BaRhAuC2, computed with PBE-GGA.

Cell lengths 4.0700, 4.0700, 6.5069 Å; angles 90.00, 90.00, 90.00 degrees
With the nearest neighbours (Å) after each atom.
Atoms (fractional coordinates):
Ba 0.0000 0.0000 0.0000  4 Rh 2.88
Rh 0.5000 0.5000 0.0000  4 Ba 2.88
Au 0.0000 0.0000 0.5000  4 C 2.04
C 0.0000 0.5000 0.5000  2 Au 2.04
C 0.5000 0.0000 0.5000  2 Au 2.04

Results
As for the raw total energy: -20.7 eV/cell. The value obtained for the density of states at the Fermi level is 3.19 states/eV/f.u.

***

Number 1: mass density 20.64 g/cm³, energy relative to the elements -1.54 kcal/mol of atoms. Number 2: mass density 7.11 g/cm³, energy relative to the elements 47.54 kcal/mol of atoms.